Entry 1:
Ca3AsCl3 | Alexandria via LeMat-Bulk | PBE | optimized geometry; Fermi-level density of states = 0.0 states/eV/f.u.; DFT total energy = -4.3176 eV per atom; space group = No. 221; M_tot = 0.00 μB per atom
1.0
5.7849 0.0000 0.0000
0.0000 5.7849 0.0000
0.0000 0.0000 5.7849
Cl Ca As
3 3 1
direct
0.5000 0.0000 0.5000 Cl
0.5000 0.5000 0.0000 Cl
0.0000 0.5000 0.5000 Cl
0.0000 0.0000 0.5000 Ca
0.0000 0.5000 0.0000 Ca
0.5000 0.0000 0.0000 Ca
0.0000 0.0000 0.0000 As

Entry 2:
CaAsCl2 | Alexandria via LeMat-Bulk | PBE | optimized geometry; Fermi-level density of states = 0.9 states/eV/f.u.; space group = No. 71; M_tot = 0.00 μB per atom; energy above the lowest structure with this stoichiometry = 0.2406 eV/atom
1.0
5.7501 -0.0016 -0.0062
1.5260 5.5439 0.0062
-2.5302 -4.2256 2.9676
Cl Ca As
2 1 1
direct
0.0143 0.0143 0.0000 Cl
0.4857 0.4857 0.0000 Cl
0.2500 0.7500 0.5000 Ca
0.7500 0.2500 0.5000 As

Entry 3:
CaAsCl2 | Alexandria via LeMat-Bulk | PBE | optimized geometry; Fermi-level density of states = 0.9 states/eV/f.u.; space group = No. 225; M_tot = 0.74 μB per atom; energy above the lowest structure with this stoichiometry = 0.4197 eV/atom
1.0
0.4133 -4.4474 2.6121
1.9090 -0.0079 4.8093
-3.1194 -0.9387 4.0202
Cl As Ca
2 1 1
direct
0.2500 0.2500 0.2500 Cl
0.7500 0.7500 0.7500 Cl
0.5000 0.5000 0.5000 As
0.0000 0.0000 0.0000 Ca

Entry 4:
CaAsCl3 | Alexandria via LeMat-Bulk | PBE | optimized geometry; Fermi-level density of states = 4.0 states/eV/f.u.; space group = No. 221; M_tot = 0.00 μB per atom; energy above the lowest structure with this stoichiometry = 0.2467 eV/atom
1.0
5.2190 0.0000 0.0000
0.0000 5.2190 0.0000
0.0000 0.0000 5.2190
As Ca Cl
1 1 3
direct
0.0000 0.0000 0.0000 As
0.5000 0.5000 0.5000 Ca
0.0000 0.5000 0.0000 Cl
0.5000 0.0000 0.0000 Cl
0.0000 0.0000 0.5000 Cl

Entry 5:
CaAsCl2 | Alexandria via LeMat-Bulk | PBE | optimized geometry; Fermi-level density of states = 0.6 states/eV/f.u.; space group = No. 12; M_tot = 0.00 μB per atom; energy above the lowest structure with this stoichiometry = 0.0000 eV/atom
1.0
-0.7074 5.8394 -3.2067
-0.6717 3.4127 -5.7257
-5.3025 -0.0734 -0.0045
Cl As Ca
2 1 1
direct
0.6024 0.6024 0.4649 Cl
0.8976 0.8976 0.0351 Cl
0.7500 0.7500 0.7500 As
0.2500 0.2500 0.2500 Ca

Entry 6:
CaAs4Cl | Alexandria via LeMat-Bulk | PBE | optimized geometry; Fermi-level density of states = 4.9 states/eV/f.u.; DFT total energy = -4.0849 eV per atom; space group = No. 216; M_tot = 0.00 μB per atom
1.0
-1.9641 0.4416 5.4359
-5.5256 1.4550 0.9760
-3.7128 -3.9414 2.0694
As Cl Ca
4 1 1
direct
0.9153 0.3616 0.3616 As
0.3616 0.3616 0.9153 As
0.3616 0.3616 0.3616 As
0.3616 0.9153 0.3616 As
0.0000 0.0000 0.0000 Cl
0.7500 0.7500 0.7500 Ca

Entry 7:
Ca3As2Cl | Alexandria via LeMat-Bulk | PBE | optimized geometry; DFT total energy = -4.1764 eV per atom; space group = No. 15; M_tot = 0.00 μB per atom
1.0
5.9508 0.0000 0.8325
2.9754 7.5795 0.4163
0.8246 0.0000 14.5371
As Cl Ca
8 4 12
direct
0.6612 0.2209 0.9234 As
0.0285 0.6214 0.8215 As
0.8821 0.7791 0.4234 As
0.3388 0.7791 0.0766 As
0.9715 0.3786 0.1785 As
0.3501 0.6214 0.6785 As
0.6499 0.3786 0.3215 As
0.1179 0.2209 0.5766 As
0.6884 0.9687 0.6545 Cl
0.3116 0.0313 0.3455 Cl
0.6571 0.0313 0.1545 Cl
0.3429 0.9687 0.8455 Cl
0.9988 0.0024 0.2500 Ca
0.1051 0.4030 0.3771 Ca
0.8387 0.8400 0.9975 Ca
0.3213 0.8400 0.5025 Ca
0.6787 0.1600 0.4975 Ca
0.0012 0.9976 0.7500 Ca
0.6377 0.7246 0.2500 Ca
0.3623 0.2754 0.7500 Ca
0.8949 0.5970 0.6229 Ca
0.1613 0.1600 0.0025 Ca
0.4918 0.4030 0.1229 Ca
0.5082 0.5970 0.8771 Ca

Entry 8:
CaAsCl2 | Alexandria via LeMat-Bulk | PBE | optimized geometry; Fermi-level density of states = 3.3 states/eV/f.u.; space group = No. 123; M_tot = 0.00 μB per atom; energy above the lowest structure with this stoichiometry = 0.3673 eV/atom
1.0
4.6370 -0.0062 0.0000
0.0073 4.6370 0.0000
0.0000 0.0000 4.1525
Cl Ca As
2 1 1
direct
0.5000 0.5000 0.0000 Cl
0.0000 0.0000 0.0000 Cl
0.0000 0.5000 0.5000 Ca
0.5000 0.0000 0.5000 As

Entry 9:
Cs2CaAsCl6 | Alexandria via LeMat-Bulk | PBE | optimized geometry; Fermi-level density of states = 5.7 states/eV/f.u.; DFT total energy = -3.4990 eV per atom; space group = No. 139; M_tot = 0.10 μB per atom
1.0
-4.0223 6.6491 1.1122
-6.7313 -4.0324 -0.2368
-5.1283 0.5876 5.6452
Cl Ca Cs As
6 1 2 1
direct
0.2553 0.2553 0.0000 Cl
0.2361 0.2361 0.5279 Cl
0.7447 0.7447 0.0000 Cl
0.7639 0.7639 0.4721 Cl
0.2553 0.7447 0.0000 Cl
0.7447 0.2553 0.0000 Cl
0.5000 0.5000 0.0000 Ca
0.7500 0.2500 0.5000 Cs
0.2500 0.7500 0.5000 Cs
0.0000 0.0000 0.0000 As

Entry 10:
CaEuAsCl | Alexandria via LeMat-Bulk | PBE | optimized geometry; Fermi-level density of states = 16.9 states/eV/f.u.; DFT total energy = -6.1556 eV per atom; space group = No. 216; M_tot = 1.75 μB per atom
1.0
5.2094 0.0000 0.0000
2.6047 4.5115 0.0000
2.6047 1.5038 4.2535
Cl As Eu Ca
1 1 1 1
direct
0.5000 0.5000 0.5000 Cl
0.0000 0.0000 0.0000 As
0.2500 0.2500 0.2500 Eu
0.7500 0.7500 0.7500 Ca

Entry 11:
CaAsH2Cl | Alexandria via LeMat-Bulk | PBE | optimized geometry; Fermi-level density of states = 5.4 states/eV/f.u.; DFT total energy = -2.8697 eV per atom; space group = No. 123; M_tot = 0.00 μB per atom
1.0
4.0337 0.0000 0.0000
0.0000 6.4361 0.0000
0.0000 0.0000 4.0337
Cl As H Ca
1 1 2 1
direct
0.5000 0.5000 0.5000 Cl
0.0000 0.5000 0.0000 As
0.5000 0.0000 0.0000 H
0.0000 0.0000 0.5000 H
0.0000 0.0000 0.0000 Ca

Entry 12:
KCa2AsCl8 | Alexandria via LeMat-Bulk | PBE | optimized geometry; Fermi-level density of states = 0.0 states/eV/f.u.; DFT total energy = -3.7359 eV per atom; space group = No. 10; M_tot = 0.00 μB per atom
1.0
-1.6201 -5.0914 3.7024
-0.6053 -3.6149 -5.1052
8.2487 -2.2024 0.5813
As Cl Ca K
1 8 2 1
direct
0.0000 0.0000 0.0000 As
0.8364 0.2263 0.7933 Cl
0.1637 0.7737 0.7933 Cl
0.1636 0.7737 0.2067 Cl
0.3617 0.2798 0.5000 Cl
0.6383 0.7202 0.5000 Cl
0.8363 0.2263 0.2067 Cl
0.6845 0.7461 0.0000 Cl
0.3155 0.2539 0.0000 Cl
0.5000 0.5000 0.7488 Ca
0.5000 0.5000 0.2512 Ca
0.0000 0.0000 0.5000 K

Q: Which value of M_tot does entry 9 give?
A: 0.10 μB per atom